Density functional theory data (GGA-PBE) for an optimized crystal structure of LaNi12As6.

Lattice parameters (Å, degrees): 6.7243 6.7243 6.7243 104.18 104.18 104.18
Last column: nearest neighbours and their distance in Å.
Element x y z (fractional)
1 Ni 0.5632 0.8318 0.5632  3 As 2.38-2.42
2 Ni 0.1244 0.5000 0.8756  4 As 2.31-2.32
3 Ni 0.8756 0.5000 0.1244  4 As 2.31-2.32
4 Ni 0.8756 0.1244 0.5000  4 As 2.31-2.32
5 Ni 0.4368 0.4368 0.1682  3 As 2.38-2.42
6 Ni 0.4368 0.1682 0.4368  3 As 2.38-2.42
7 Ni 0.1244 0.8756 0.5000  4 As 2.31-2.32
8 Ni 0.5000 0.1244 0.8756  4 As 2.31-2.32
9 Ni 0.5000 0.8756 0.1244  4 As 2.31-2.32
10 Ni 0.1682 0.4368 0.4368  3 As 2.38-2.42
11 Ni 0.8318 0.5632 0.5632  3 As 2.38-2.42
12 Ni 0.5632 0.5632 0.8318  3 As 2.38-2.42
13 As 0.3155 0.7557 0.7557  7 Ni 2.31-2.42
14 As 0.2443 0.6845 0.2443  7 Ni 2.31-2.42
15 As 0.7557 0.7557 0.3155  7 Ni 2.31-2.42
16 As 0.6845 0.2443 0.2443  7 Ni 2.31-2.42
17 As 0.2443 0.2443 0.6845  7 Ni 2.31-2.42
18 As 0.7557 0.3155 0.7557  7 Ni 2.31-2.42
19 La 0.0000 0.0000 0.0000  18 Ni 3.32-3.61, 6 As 3.46

Results
Total moment   0.0 Bohr magnetons per cell
Formation enthalpy at 0 K   -5.382 eV per formula unit